(1)
A plane-wave DFT calculation with PBE was carried out for a geometry-optimized Er8TcRh2 structure.

Unit cell a=7.5376 b=7.5376 c=5.7356 alpha=100.29 beta=100.29 gamma=113.99
Last column: nearest neighbours and their distance in Å.
Sites, in units of the cell vectors:
Er1 0.0000 0.0000 0.0000  1 Tc 2.83, 2 Rh 3.04
Er2 0.0311 0.2818 0.5959  2 Rh 2.79
Er3 0.1515 0.5804 0.1849  1 Tc 2.78, 1 Rh 3.09
Er4 0.2818 0.0311 0.5959  2 Rh 2.79
Er5 0.4384 0.6897 0.7852  2 Rh 2.78-2.83
Er6 0.5804 0.1515 0.1849  1 Tc 2.78, 1 Rh 3.09
Er7 0.6897 0.4384 0.7852  2 Rh 2.78-2.83
Er8 0.7174 0.7174 0.3633  1 Tc 2.87, 2 Rh 2.99
Tc1 0.3582 0.3582 0.0753  4 Er 2.78-2.87
Rh1 0.0453 0.6640 0.6758  7 Er 2.78-3.09
Rh2 0.6640 0.0453 0.6758  7 Er 2.78-3.09

- Total moment: 0.0 μB/f.u.
- Uncorrected energy: -65.165 eV/cell
- Space group: Cm (8)
- Formation energy from the elements: -0.33 eV per atom

(2)
A plane-wave DFT calculation with PBE was carried out for a geometry-optimized Rb2BiHBr6 structure.

Unit cell a=7.3766 b=7.8918 c=8.2449 alpha=118.27 beta=116.25 gamma=90.61
Last column: nearest neighbours and their distance in Å.
Sites, in units of the cell vectors:
Rb1 0.0000 0.0000 0.0000  8 Br 3.67-4.00, 1 H 3.80
Rb2 0.4997 0.4982 0.9999  8 Br 3.67-4.04, 1 H 3.81
Bi1 0.7498 0.2756 0.5000  4 Br 2.72-2.88
H1 0.1716 0.9832 0.4989  2 Br 1.64-1.79
Br1 0.0810 0.4321 0.5009  1 Bi 2.72
Br2 0.4083 0.0340 0.4983  1 H 1.79
Br3 0.5175 0.0288 0.0399  1 Bi 2.88
Br4 0.5676 0.5754 0.5008  1 Bi 2.73
Br5 0.9573 0.9253 0.4991  1 H 1.64
Br6 0.9769 0.4861 0.9598  1 Bi 2.88

- Total moment: 0.0 μB/f.u.
- Uncorrected energy: -29.800 eV/cell
- Space group: P1 (1)

(3)
A plane-wave DFT calculation with PBE was carried out for a geometry-optimized ZrCNF2 structure.

Unit cell a=4.7564 b=4.7564 c=2.4928 alpha=90.00 beta=90.00 gamma=90.00
Last column: nearest neighbours and their distance in Å.
Sites, in units of the cell vectors:
Zr1 0.0000 0.0000 0.0000  2 Zr 2.49, 8 F 2.69
C1 0.5000 0.5000 0.5000  2 N 1.25
N1 0.5000 0.5000 0.0000  2 C 1.25
F1 0.0000 0.5000 0.5000  2 C 2.38, 2 F 2.49
F2 0.5000 0.0000 0.5000  2 C 2.38, 2 F 2.49

- Total moment: 0.0 μB/f.u.
- Uncorrected formation energy: -0.488 eV/atom
- Uncorrected energy: -32.282 eV/cell
- Space group: P4/mmm (123)

(4)
A plane-wave DFT calculation with PBE was carried out for a geometry-optimized BaNa2TlBi2 structure.

Unit cell a=5.0533 b=9.6739 c=8.8206 alpha=90.00 beta=90.00 gamma=90.00
Last column: nearest neighbours and their distance in Å.
Sites, in units of the cell vectors:
Ba1 0.0000 0.0654 0.0000  5 Bi 3.57-3.67, 2 Tl 3.83, 1 Na 3.91
Ba2 0.0000 0.9346 0.5000  5 Bi 3.57-3.67, 2 Tl 3.83, 1 Na 3.91
Na1 0.0000 0.3256 0.3890  4 Bi 3.19-3.32
Na2 0.0000 0.6744 0.8890  4 Bi 3.19-3.32
Na3 0.5000 0.4279 0.0678  5 Bi 3.48-3.74, 1 Tl 3.75, 2 Na 3.82
Na4 0.5000 0.5721 0.5678  5 Bi 3.48-3.74, 1 Tl 3.75, 2 Na 3.82
Tl1 0.5000 0.1936 0.6598  4 Bi 3.16-3.35
Tl2 0.5000 0.8064 0.1598  4 Bi 3.16-3.35
Bi1 0.0000 0.3648 0.7633  2 Tl 3.16, 2 Na 3.19-3.32
Bi2 0.0000 0.6352 0.2633  2 Tl 3.16, 2 Na 3.19-3.32
Bi3 0.5000 0.1287 0.2870  3 Na 3.29-3.48, 2 Tl 3.31-3.35, 4 Ba 3.63-3.67
Bi4 0.5000 0.8713 0.7870  3 Na 3.29-3.48, 2 Tl 3.31-3.35, 4 Ba 3.63-3.67

- Total moment: 0.0 μB/f.u.
- Uncorrected energy: -34.921 eV/cell
- Space group: Pmc2_1 (26)
- Formation energy from the elements: -0.46 eV per atom